VASP calculation (GGA-PBE) on a geometry-optimized Hg3Pd12Rh structure.

Properties
- Formation energy: -0.9 eV/f.u.
- DOS(E_F): 23.7 states/eV/f.u.

```
Hg3Pd12Rh
1.0
4.0038 0.0000 0.0000
0.0000 4.0038 0.0000
0.0000 0.0000 16.2177
Hg Pd Rh
3 12 1
direct
0.0000 0.0000 0.0000
0.0000 0.0000 0.2539
0.0000 0.0000 0.7461
0.0000 0.5000 0.1274
0.0000 0.5000 0.3825
0.0000 0.5000 0.6175
0.0000 0.5000 0.8726
0.5000 0.0000 0.1274
0.5000 0.0000 0.3825
0.5000 0.0000 0.6175
0.5000 0.0000 0.8726
0.5000 0.5000 0.0000
0.5000 0.5000 0.2559
0.5000 0.5000 0.5000
0.5000 0.5000 0.7441
0.0000 0.0000 0.5000
```